VASP calculation (GGA+U) on a relaxed structure of MoAu2F2.

The calculation puts the density at 10.2 g/cm3. For the total magnetization, the calculation gives 4.71 μB/f.u. For the energy relative to the lowest polymorph listed for this composition, the calculation gives 359.4 meV per atom.

abc: 7.509 7.509 3.056
angles: 90.00 90.00 90.00
Each line ends with the local moment (μB).
Sites, in units of the cell vectors:
Mo  0.000  0.000  0.000  3.98
Mo  0.500  0.500  0.000  3.98
Au  0.377  0.877  0.000  0.03
Au  0.877  0.623  0.000  0.03
Au  0.623  0.123  0.000  0.03
Au  0.123  0.377  0.000  0.03
F  0.197  0.697  0.500  0.04
F  0.697  0.803  0.500  0.04
F  0.803  0.303  0.500  0.04
F  0.303  0.197  0.500  0.04